Compound: LuCoO2
Source: Alexandria
Functional: PBE with a Hubbard U
Structure: optimized geometry

```
4
Lattice="3.456 0.000 0.000 1.728 2.993 0.000 1.728 0.998 5.704" Properties=species:S:1:pos:R:3 pbc="T T T"
O 5.183 2.993 1.848
Lu 3.456 1.995 2.852
Co 0.000 0.000 0.000
O 1.728 0.998 3.857
```

Summary:
- Crystal system: trigonal
- Total energy: -7.2638 eV per atom